No. 1
DFT (PBE) results for a relaxed structure of La2CePb.

Cell lengths 3.6700, 3.6700, 34.0452 Å; angles 90.00, 90.00, 120.00 degrees
Closest atoms and distances in Å follow each position.
Space group R3m (No. 160, hexagonal axes)
Symmetry-distinct sites (fractional):
La1 0.0000 0.0000 0.0000 x3  3 Pb 3.49, 3 Ce 3.58, 6 La 3.67
La2 0.0000 0.0000 0.1696 x3  3 Pb 3.51, 3 Ce 3.58, 6 La 3.67
Ce1 0.0000 0.0000 0.7516 x3  6 La 3.58, 6 Ce 3.67
Pb1 0.0000 0.0000 0.5850 x3  6 La 3.49-3.51, 6 Pb 3.67

Output
- ΔE to the lowest computed polymorph: 0.211 eV per atom
- E_form: -0.103 eV/atom
- M_tot: 2.73 μB per cell

No. 2
DFT (PBE) results for a relaxed structure of CaDyPtAu.

Cell lengths 4.4155, 3.8595, 11.0793 Å; angles 90.00, 90.00, 90.00 degrees
Closest atoms and distances in Å follow each position.
Space group Amm2 (No. 38)
Symmetry-distinct sites (fractional):
Ca1 0.0000 0.0000 0.0000 x2  3 Pt 2.96-3.22, 4 Au 3.01
Dy1 0.5000 0.0000 0.2795 x2  4 Pt 2.98, 3 Au 3.10-3.11
Pt1 0.0000 0.0000 0.7328 x2  2 Au 2.92, 3 Ca 2.96-3.22, 4 Dy 2.98
Au1 0.5000 0.0000 0.5597 x2  2 Pt 2.92, 4 Ca 3.01, 3 Dy 3.10-3.11

Output
- ΔE to the lowest computed polymorph: 0.000 eV per atom
- E_form: -0.974 eV/atom
- M_tot: 0.00 μB per cell

No. 3
DFT (PBE) results for a relaxed structure of ReAsH2.

Cell lengths 5.3537, 5.3537, 5.3537 Å; angles 90.00, 90.00, 90.00 degrees
Closest atoms and distances in Å follow each position.
Space group Fm-3m (No. 225)
Symmetry-distinct sites (fractional):
Re1 0.0000 0.0000 0.0000 x4  8 H 2.32
As1 0.0000 0.0000 0.5000 x4  8 H 2.32
H1 0.2500 0.2500 0.2500 x8  4 As 2.32, 4 Re 2.32

Output
- ΔE to the lowest computed polymorph: 0.744 eV per atom
- M_tot: 0.00 μB per cell

No. 4
DFT (PBE) results for a relaxed structure of HfCrOs3.

Cell lengths 4.4468, 4.4468, 4.4468 Å; angles 90.00, 90.00, 90.00 degrees
Closest atoms and distances in Å follow each position.
Space group Pm-3m (No. 221)
Symmetry-distinct sites (fractional):
Hf1 0.0000 0.0000 0.0000 x1  12 Os 3.14
Cr1 0.5000 0.5000 0.5000 x1  6 Os 2.22
Os1 0.0000 0.5000 0.5000 x3  2 Cr 2.22

Output
- ΔE to the lowest computed polymorph: 0.000 eV per atom
- E_form: 0.997 eV/atom
- M_tot: 0.00 μB per cell